Sr7Hg2Pd2 after structural relaxation. Source: the Alexandria database, functional PBE.

- Energy above the most stable polymorph in this dataset: 0.0 meV/atom
- Crystal system: orthorhombic
- Formation energy: -0.445 eV/atom

Cell: 10.3099 10.3099 10.3099 Å, 155.42 67.22 118.54°
With the nearest neighbours (Å) after each atom.
Atoms (fractional coordinates):
Sr (0.0000, 0.0000, 0.0000)  3 Hg 3.37-3.48
Sr (0.2906, 0.4114, 0.8792)  2 Pd 3.25, 3 Hg 3.43-3.51
Sr (0.3023, 0.6147, 0.6876)  3 Pd 3.20-3.36, 1 Hg 3.49
Sr (0.5321, 0.4114, 0.1208)  2 Pd 3.25, 3 Hg 3.43-3.51
Sr (0.6098, 0.2522, 0.3576)  2 Pd 3.23, 2 Hg 3.40
Sr (0.8945, 0.2522, 0.6424)  2 Pd 3.23, 2 Hg 3.40
Sr (0.9272, 0.6147, 0.3124)  3 Pd 3.20-3.36, 1 Hg 3.49
Hg (0.2421, 0.7421, 0.5000)  8 Sr 3.37-3.51
Hg (0.6701, 0.6701, 0.0000)  7 Sr 3.40-3.48
Pd (0.1513, 0.9114, 0.2400)  7 Sr 3.20-3.36
Pd (0.6714, 0.9114, 0.7600)  7 Sr 3.20-3.36